Computed, not measured: an optimized crystal structure of Y2InPd6 at the PBE level of DFT.

Output
As for the formation energy: -0.503 eV/atom. The uncorrected energy is -5.71 eV per atom. Its crystal system is monoclinic.

a = 7.9746 Å, b = 7.9746 Å, c = 3.4420 Å
α = 102.29°, β = 102.29°, γ = 60.29°
Element x y z (fractional)
Y (0.1590, 0.1590, 0.1547)
Y (0.8410, 0.8410, 0.8453)
In (0.5000, 0.5000, 0.5000)
Pd (0.1202, 0.5468, 0.3353)
Pd (0.2380, 0.7620, 0.0000)
Pd (0.4532, 0.8798, 0.6647)
Pd (0.5468, 0.1202, 0.3353)
Pd (0.7620, 0.2380, 0.0000)
Pd (0.8798, 0.4532, 0.6647)